Entry from the Alexandria database: crystalline RbCd2PIr at its relaxed geometry (GGA-PBE).

* ρ: 6725 kg/m³
* E_form: -77 meV per atom

```
5
Lattice="-4.363 1.167 -2.947 -2.039 -4.872 1.089 -2.039 1.676 3.682" Properties=species:S:1:pos:R:3 pbc="T T T"
Cd -1.019 -2.436 0.545
Rb -4.220 -1.015 0.912
P -1.019 0.838 1.841
Cd -2.181 0.583 -1.473
Ir 0.000 0.000 0.000
```

***

Entry from the Alexandria database: crystalline Dy6Al7 at its relaxed geometry (GGA-PBE).

* ρ: 6638 kg/m³
* E_form: -392 meV per atom

```
13
Lattice="5.667 0.000 0.000 2.833 4.908 0.000 2.833 1.636 10.469" Properties=species:S:1:pos:R:3 pbc="T T T"
Dy 2.833 1.636 5.282
Dy 5.667 3.272 0.550
Al 0.000 0.000 0.000
Al 7.108 5.712 8.213
Dy 5.667 3.272 6.823
Dy 8.500 4.908 5.186
Al 8.500 3.300 8.213
Dy 5.667 3.272 9.919
Al 9.893 5.712 8.213
Al 2.833 3.244 2.256
Al 4.226 0.832 2.256
Dy 5.667 3.272 3.645
Al 1.441 0.832 2.256
```

***

Entry from the Alexandria database: crystalline MgF2 at its relaxed geometry (GGA-PBE).

* formation energy without anion corrections: -3.4392 eV/atom
* ρ: 2712 kg/m³

```
6
Lattice="3.113 0.000 0.000 1.556 5.229 0.694 1.556 1.906 4.941" Properties=species:S:1:pos:R:3 pbc="T T T"
F 3.113 1.969 2.695
Mg 1.556 1.784 1.409
Mg 4.669 5.351 4.226
F 1.556 3.631 0.572
F 4.669 3.504 5.062
F 3.113 5.165 2.939
```

***

DOS at the Fermi energy values, unit states/eV per cell, following the record order: 3.3; 10.8; 0.0.